No. 1
This record from OQMD via LeMat-Bulk describes a geometry-optimized ErTmNO structure. The functional is PBE.

Results
- Space-group type: P4/mmm

abc: 3.364 3.364 4.737
angles: 90.00 90.00 90.00
Positions (direct):
Er 0.000 0.000 0.000
Tm 0.500 0.500 0.500
N 0.500 0.500 0.000
O 0.000 0.000 0.500

***

No. 2
This record from OQMD via LeMat-Bulk describes a geometry-optimized ErZnNO structure. The functional is PBE.

Results
- Space-group type: P4/nmm

abc: 3.647 3.647 7.699
angles: 90.00 90.00 90.00
Positions (direct):
Er 0.250 0.250 0.151
Er 0.750 0.750 0.849
Zn 0.250 0.750 0.500
Zn 0.750 0.250 0.500
N 0.250 0.250 0.647
N 0.750 0.750 0.353
O 0.250 0.750 0.000
O 0.750 0.250 0.000

***

No. 3
This record from OQMD via LeMat-Bulk describes a geometry-optimized ErZnNO structure. The functional is PBE.

Results
- Space-group type: P4/nmm

abc: 4.729 4.729 4.378
angles: 90.00 90.00 90.00
Positions (direct):
Er 0.250 0.750 0.000
Er 0.750 0.250 0.000
Zn 0.250 0.250 0.497
Zn 0.750 0.750 0.503
N 0.250 0.250 0.001
N 0.750 0.750 0.999
O 0.250 0.750 0.500
O 0.750 0.250 0.500

***

No. 4
This record from OQMD via LeMat-Bulk describes a geometry-optimized ErZnNO structure. The functional is PBE.

Results
- Space-group type: Pmc2_1

abc: 3.688 6.049 5.011
angles: 90.00 90.00 90.00
Positions (direct):
Er 0.000 0.193 0.000
Er 0.000 0.807 0.500
Zn 0.500 0.307 0.507
Zn 0.500 0.693 0.007
N 0.000 0.175 0.463
N 0.000 0.825 0.963
O 0.500 0.360 0.930
O 0.500 0.640 0.430

***

No. 5
This record from OQMD via LeMat-Bulk describes a geometry-optimized ErZnNO structure. The functional is PBE.

Results
- Space-group type: Pmc2_1

abc: 3.561 5.859 5.638
angles: 90.00 90.00 90.00
Positions (direct):
Er 0.000 0.189 0.000
Er 0.000 0.811 0.500
Zn 0.500 0.349 0.504
Zn 0.500 0.651 0.004
N 0.500 0.347 0.851
N 0.500 0.653 0.351
O 0.000 0.164 0.389
O 0.000 0.836 0.889

***

No. 6
This record from OQMD via LeMat-Bulk describes a geometry-optimized ErZnNO structure. The functional is PBE.

Results
- Space-group type: P4/mmm

abc: 3.347 3.347 4.378
angles: 90.00 90.00 90.00
Positions (direct):
Er 0.000 0.000 0.000
Zn 0.500 0.500 0.500
N 0.500 0.500 0.000
O 0.000 0.000 0.500

***

No. 7
This record from OQMD via LeMat-Bulk describes a geometry-optimized ErZnNO structure. The functional is PBE.

Results
- Space-group type: Pca2_1

abc: 5.720 7.748 4.897
angles: 90.00 90.00 90.00
Positions (direct):
Er 0.048 0.146 0.000
Er 0.452 0.146 0.500
Er 0.548 0.854 0.000
Er 0.952 0.854 0.500
Zn 0.061 0.621 0.979
Zn 0.439 0.621 0.479
Zn 0.561 0.379 0.979
Zn 0.939 0.379 0.479
N 0.060 0.137 0.515
N 0.440 0.137 0.015
N 0.560 0.863 0.515
N 0.940 0.863 0.015
O 0.097 0.597 0.561
O 0.403 0.597 0.061
O 0.597 0.403 0.561
O 0.903 0.403 0.061

***

No. 8
This record from OQMD via LeMat-Bulk describes a geometry-optimized ErZnNO structure. The functional is PBE.

Results
- Space-group type: Pca2_1

abc: 5.538 7.418 5.546
angles: 90.00 90.00 90.00
Positions (direct):
Er 0.038 0.137 0.000
Er 0.462 0.137 0.500
Er 0.538 0.863 0.000
Er 0.962 0.863 0.500
Zn 0.092 0.459 0.591
Zn 0.408 0.459 0.091
Zn 0.592 0.541 0.591
Zn 0.908 0.541 0.091
N 0.117 0.367 0.262
N 0.383 0.367 0.762
N 0.617 0.633 0.262
N 0.883 0.633 0.762
O 0.245 0.965 0.236
O 0.255 0.965 0.736
O 0.745 0.035 0.236
O 0.755 0.035 0.736

***

No. 9
This record from OQMD via LeMat-Bulk describes a geometry-optimized ErZrNO structure. The functional is PBE.

Results
- Space-group type: P4/nmm

abc: 4.140 4.140 8.105
angles: 90.00 90.00 90.00
Positions (direct):
Er 0.250 0.250 0.112
Er 0.750 0.750 0.888
Zr 0.250 0.750 0.500
Zr 0.750 0.250 0.500
N 0.250 0.250 0.580
N 0.750 0.750 0.420
O 0.250 0.750 0.000
O 0.750 0.250 0.000

***

No. 10
This record from OQMD via LeMat-Bulk describes a geometry-optimized ErZrNO structure. The functional is PBE.

Results
- Space-group type: Pmma

abc: 4.641 3.822 6.780
angles: 90.00 90.00 90.00
Positions (direct):
Er 0.250 0.000 0.166
Er 0.750 0.000 0.834
Zr 0.250 0.500 0.654
Zr 0.750 0.500 0.346
N 0.250 0.500 0.343
N 0.750 0.500 0.657
O 0.250 0.000 0.824
O 0.750 0.000 0.176

***

No. 11
This record from OQMD via LeMat-Bulk describes a geometry-optimized ErZrNO structure. The functional is PBE.

Results
- Space-group type: Pmc2_1

abc: 3.563 6.185 5.852
angles: 90.00 90.00 90.00
Positions (direct):
Er 0.000 0.174 0.000
Er 0.000 0.826 0.500
Zr 0.500 0.366 0.455
Zr 0.500 0.634 0.955
N 0.000 0.177 0.407
N 0.000 0.823 0.907
O 0.500 0.291 0.824
O 0.500 0.709 0.324

***

No. 12
This record from OQMD via LeMat-Bulk describes a geometry-optimized ErZrNO structure. The functional is PBE.

Results
- Space-group type: Pbcm

abc: 7.925 6.412 4.719
angles: 90.00 90.00 90.00
Positions (direct):
Er 0.133 0.081 0.250
Er 0.133 0.419 0.750
Er 0.867 0.581 0.250
Er 0.867 0.919 0.750
Zr 0.389 0.558 0.250
Zr 0.389 0.942 0.750
Zr 0.611 0.058 0.250
Zr 0.611 0.442 0.750
N 0.131 0.059 0.750
N 0.131 0.441 0.250
N 0.869 0.559 0.750
N 0.869 0.941 0.250
O 0.363 0.607 0.750
O 0.363 0.893 0.250
O 0.637 0.107 0.750
O 0.637 0.393 0.250

***

Taking the records one at a time from the top gives DFT total energy values of -7.96; -6.29; -6.35; -6.42; -6.34; -6.35; -6.37; -6.44; -8.54; -8.68; -8.50; -8.62 eV/atom.